(1)
A relaxed AsPtI3 crystal, computed with GGA-PBE.

offset from the most stable computed form	0.0000	eV/atom
symmetry	No. 221

Cell lengths 5.475, 5.475, 5.475 Å; angles 90.00, 90.00, 90.00 degrees
Element x y z (fractional)
I 0.500 0.000 0.000
I 0.000 0.000 0.500
I 0.000 0.500 0.000
As 0.500 0.500 0.500
Pt 0.000 0.000 0.000

(2)
A relaxed Rb2AsPtI6 crystal, computed with GGA-PBE.

symmetry	No. 139

Cell lengths 8.158, 8.158, 8.128 Å; angles 59.88, 59.88, 90.00 degrees
Element x y z (fractional)
I 0.244 0.244 0.000
I 0.756 0.756 0.000
I 0.756 0.244 0.000
I 0.244 0.244 0.512
I 0.756 0.756 0.488
I 0.244 0.756 0.000
Rb 0.250 0.750 0.500
Rb 0.750 0.250 0.500
Pt 0.000 0.000 0.000
As 0.500 0.500 0.000

(3)
A relaxed Rb2AsPtI crystal, computed with GGA-PBE.

symmetry	No. 123

Cell lengths 6.738, 6.738, 4.571 Å; angles 90.00, 90.00, 90.00 degrees
Element x y z (fractional)
Rb 0.000 0.500 0.000
Rb 0.500 0.000 0.000
I 0.500 0.500 0.500
As 0.000 0.000 0.500
Pt 0.000 0.000 0.000

(4)
A relaxed AsPtSI2 crystal, computed with GGA-PBE.

symmetry	No. 123

Cell lengths 5.844, 4.653, 5.844 Å; angles 90.00, 90.00, 90.00 degrees
Element x y z (fractional)
I 0.500 0.000 0.000
I 0.000 0.000 0.500
As 0.000 0.000 0.000
S 0.500 0.500 0.500
Pt 0.000 0.500 0.000

(5)
A relaxed Sb2AsPtI crystal, computed with GGA-PBE.

offset from the most stable computed form	0.0000	eV/atom
symmetry	No. 123

Cell lengths 5.255, 5.255, 5.394 Å; angles 90.00, 90.00, 90.00 degrees
Element x y z (fractional)
As 0.500 0.500 0.500
Pt 0.000 0.000 0.000
Sb 0.500 0.000 0.000
Sb 0.000 0.500 0.000
I 0.000 0.000 0.500

(6)
A relaxed SbAsPtI2 crystal, computed with GGA-PBE.

offset from the most stable computed form	0.0000	eV/atom
symmetry	No. 123

Cell lengths 5.426, 5.426, 5.246 Å; angles 90.00, 90.00, 90.00 degrees
Element x y z (fractional)
Sb 0.000 0.000 0.500
Pt 0.000 0.000 0.000
I 0.500 0.000 0.000
I 0.000 0.500 0.000
As 0.500 0.500 0.500

(7)
A relaxed SbAsPtI2 crystal, computed with GGA-PBE.

offset from the most stable computed form	0.4570	eV/atom
symmetry	No. 123

Cell lengths 5.448, 5.448, 5.556 Å; angles 90.00, 90.00, 90.00 degrees
Element x y z (fractional)
Pt 0.500 0.500 0.500
I 0.500 0.000 0.000
I 0.000 0.500 0.000
Sb 0.000 0.000 0.500
As 0.000 0.000 0.000

(8)
A relaxed Sb2AsPtI crystal, computed with GGA-PBE.

offset from the most stable computed form	0.4681	eV/atom
symmetry	No. 123

Cell lengths 5.369, 5.369, 5.299 Å; angles 90.00, 90.00, 90.00 degrees
Element x y z (fractional)
Sb 0.500 0.000 0.000
Sb 0.000 0.500 0.000
Pt 0.500 0.500 0.500
I 0.000 0.000 0.500
As 0.000 0.000 0.000

(9)
A relaxed As2PtSeI crystal, computed with GGA-PBE.

offset from the most stable computed form	0.0000	eV/atom
symmetry	No. 123

Cell lengths 4.931, 4.931, 5.195 Å; angles 90.00, 90.00, 90.00 degrees
Element x y z (fractional)
As 0.500 0.000 0.000
As 0.000 0.500 0.000
I 0.500 0.500 0.500
Se 0.000 0.000 0.500
Pt 0.000 0.000 0.000

(10)
A relaxed Sm6AsPt2I3 crystal, computed with GGA-PBE.

symmetry	No. 12

Cell lengths 7.450, 7.450, 8.152 Å; angles 98.78, 98.78, 119.87 degrees
Element x y z (fractional)
I 0.500 0.500 0.500
I 0.162 0.838 0.500
I 0.838 0.162 0.500
Pt 0.333 0.667 0.000
Pt 0.667 0.333 0.000
As 0.000 0.000 0.000
Sm 0.064 0.410 0.189
Sm 0.936 0.590 0.811
Sm 0.284 0.284 0.812
Sm 0.590 0.936 0.811
Sm 0.410 0.064 0.189
Sm 0.716 0.716 0.188

(11)
A relaxed Sr8AsPt3I4 crystal, computed with GGA-PBE.

symmetry	No. 166

Cell lengths 8.993, 9.660, 8.993 Å; angles 117.76, 120.00, 90.00 degrees
Element x y z (fractional)
Sr 0.235 0.696 0.469
Sr 0.266 0.298 0.532
Sr 0.235 0.696 0.962
Sr 0.727 0.696 0.962
Sr 0.734 0.702 0.468
Sr 0.765 0.304 0.531
Sr 0.273 0.304 0.038
Sr 0.765 0.304 0.038
As 0.000 0.500 0.000
I 0.000 0.000 0.000
I 0.000 0.000 0.500
I 0.500 0.000 0.500
I 0.500 0.000 0.000
Pt 0.000 0.500 0.500
Pt 0.500 0.500 0.000
Pt 0.500 0.500 0.500

(12)
A relaxed Sr6As2PtI3 crystal, computed with GGA-PBE.

symmetry	No. 12

Cell lengths 7.872, 7.872, 8.485 Å; angles 98.96, 98.96, 120.04 degrees
Element x y z (fractional)
Sr 0.396 0.067 0.200
Sr 0.738 0.738 0.202
Sr 0.262 0.262 0.798
Sr 0.067 0.396 0.200
Sr 0.604 0.933 0.800
Sr 0.933 0.604 0.800
I 0.170 0.830 0.500
I 0.830 0.170 0.500
I 0.500 0.500 0.500
As 0.666 0.334 0.000
As 0.334 0.666 0.000
Pt 0.000 0.000 0.000

(13)
A relaxed Sr8As3PtI4 crystal, computed with GGA-PBE.

symmetry	No. 166

Cell lengths 9.160, 9.577, 9.160 Å; angles 118.57, 120.00, 90.00 degrees
Element x y z (fractional)
Pt 0.000 0.500 0.000
Sr 0.768 0.301 0.537
Sr 0.232 0.699 0.463
Sr 0.232 0.699 0.968
Sr 0.736 0.699 0.968
Sr 0.264 0.301 0.032
Sr 0.768 0.301 0.032
Sr 0.267 0.301 0.534
Sr 0.733 0.699 0.466
As 0.000 0.500 0.500
As 0.500 0.500 0.500
As 0.500 0.500 0.000
I 0.500 0.000 0.500
I 0.000 0.000 0.000
I 0.000 0.000 0.500
I 0.500 0.000 0.000

(14)
A relaxed TeAsPtI2 crystal, computed with GGA-PBE.

offset from the most stable computed form	0.4275	eV/atom
symmetry	No. 123

Cell lengths 5.476, 5.476, 5.612 Å; angles 90.00, 90.00, 90.00 degrees
Element x y z (fractional)
As 0.000 0.000 0.000
Pt 0.500 0.500 0.500
Te 0.000 0.000 0.500
I 0.500 0.000 0.000
I 0.000 0.500 0.000

(15)
A relaxed TeAsPtI2 crystal, computed with GGA-PBE.

offset from the most stable computed form	0.0000	eV/atom
symmetry	No. 123

Cell lengths 5.398, 5.398, 5.331 Å; angles 90.00, 90.00, 90.00 degrees
Element x y z (fractional)
As 0.500 0.500 0.500
Te 0.000 0.000 0.500
I 0.500 0.000 0.000
I 0.000 0.500 0.000
Pt 0.000 0.000 0.000

(16)
A relaxed ZnAs2PtI crystal, computed with GGA-PBE.

symmetry	No. 123

Cell lengths 4.889, 5.799, 4.889 Å; angles 90.00, 90.00, 90.00 degrees
Element x y z (fractional)
As 0.500 0.000 0.000
As 0.000 0.000 0.500
Zn 0.500 0.500 0.500
I 0.000 0.500 0.000
Pt 0.000 0.000 0.000

(17)
A relaxed PuAsI crystal, computed with GGA-PBE.

symmetry	No. 12

Cell lengths 4.529, 4.461, 13.615 Å; angles 118.69, 90.00, 120.50 degrees
Element x y z (fractional)
Pu 0.663 0.326 0.659
Pu 0.337 0.674 0.341
As 0.189 0.379 0.515
As 0.811 0.621 0.485
I 0.829 0.659 0.168
I 0.171 0.341 0.832

(18)
A relaxed Rb4AsI6 crystal, computed with GGA-PBE.

symmetry	No. 128

Cell lengths 10.033, 10.033, 10.129 Å; angles 90.00, 90.00, 90.00 degrees
Element x y z (fractional)
I 0.309 0.895 0.500
I 0.105 0.309 0.500
I 0.895 0.691 0.500
I 0.500 0.500 0.285
I 0.691 0.105 0.500
I 0.000 0.000 0.785
I 0.500 0.500 0.715
I 0.000 0.000 0.215
I 0.395 0.809 0.000
I 0.191 0.395 0.000
I 0.605 0.191 0.000
I 0.809 0.605 0.000
Rb 0.335 0.165 0.250
Rb 0.665 0.835 0.250
Rb 0.165 0.665 0.750
Rb 0.835 0.335 0.750
Rb 0.665 0.835 0.750
Rb 0.335 0.165 0.750
Rb 0.165 0.665 0.250
Rb 0.835 0.335 0.250
As 0.500 0.500 0.000
As 0.000 0.000 0.500

(19)
A relaxed Rb3AsI crystal, computed with GGA-PBE.

offset from the most stable computed form	0.1397	eV/atom
symmetry	No. 221

Cell lengths 6.616, 6.616, 6.616 Å; angles 90.00, 90.00, 90.00 degrees
Element x y z (fractional)
I 0.500 0.500 0.500
Rb 0.000 0.500 0.000
Rb 0.500 0.000 0.000
Rb 0.000 0.000 0.500
As 0.000 0.000 0.000

(20)
A relaxed Rb2As3I8 crystal, computed with GGA-PBE.

symmetry	No. 2

Cell lengths 9.685, 5.944, 14.670 Å; angles 77.10, 66.69, 112.28 degrees
Element x y z (fractional)
I 0.196 0.167 0.266
I 0.754 0.178 0.996
I 0.246 0.822 0.004
I 0.687 0.895 0.497
I 0.242 0.399 0.763
I 0.313 0.105 0.503
I 0.758 0.601 0.237
I 0.804 0.833 0.734
Rb 0.598 0.227 0.680
Rb 0.402 0.773 0.320
As 0.051 0.030 0.066
As 0.949 0.970 0.934
As 0.000 0.000 0.500

Formation energy without anion corrections in eV per formula unit, matching the order above: 2.56 -6.12 -3.43 3.98 2.93 2.84 5.13 5.27 2.56 -13.62 -18.76 -15.60 -21.42 4.92 2.78 2.82 -2.46 -11.11 -2.90 -6.23